Record 1
VASP calculation (PBE-GGA) on KRbSbAu after structural relaxation.

## Properties
**Space group**: No. 11
**Relative energy among the computed polymorphs**: 0.00 eV/f.u.
**Density**: 4.96 g/cm³

Cell and atoms, written as POSCAR:
```
KRbSbAu
1.0
6.642 0.000 0.000
0.000 6.829 0.000
-2.046 0.000 6.540
K Rb Sb Au
2 2 2 2
Cartesian
0.073 1.707 3.264 K
4.523 5.122 3.276 K
1.543 5.122 5.480 Rb
3.053 1.707 1.060 Rb
1.128 5.122 1.749 Sb
3.468 1.707 4.791 Sb
0.000 0.000 0.000 Au
0.000 3.414 0.000 Au
```

***

Record 2
VASP calculation (PBE-GGA) on Er11In6Ge4 after structural relaxation.

## Properties
**Space group**: No. 139
**Energy**: -4.7014 eV/atom
**Density**: 8.89 g/cm³
**Total magnetization**: 0.0 μB/f.u.

Cell and atoms, written as POSCAR:
```
Er11In6Ge4
1.0
-5.708 5.708 8.082
5.708 -5.708 8.082
5.708 5.708 -8.082
Er In Ge
22 12 8
Cartesian
5.708 2.861 -3.004 Er
3.950 0.000 1.646 Er
7.466 0.000 1.646 Er
0.000 0.000 2.726 Er
5.708 -1.758 6.436 Er
2.861 5.708 -3.004 Er
2.847 0.000 5.079 Er
3.789 3.789 0.000 Er
1.919 -1.919 8.082 Er
5.708 2.861 3.004 Er
0.000 3.950 1.646 Er
5.708 1.758 6.436 Er
0.000 2.847 5.079 Er
-1.919 1.919 8.082 Er
1.919 1.919 8.082 Er
2.861 5.708 3.004 Er
2.847 0.000 11.086 Er
0.000 7.466 1.646 Er
0.000 0.000 13.439 Er
-1.758 5.708 6.436 Er
1.758 5.708 6.436 Er
0.000 2.847 11.086 Er
2.352 2.352 -2.764 In
3.356 -3.356 5.318 In
1.473 1.473 0.000 In
4.235 -4.235 8.082 In
2.352 2.352 2.764 In
3.356 -3.356 10.846 In
-3.356 3.356 5.318 In
3.356 3.356 5.318 In
-4.235 4.235 8.082 In
4.235 4.235 8.082 In
-3.356 3.356 10.846 In
3.356 3.356 10.846 In
5.708 1.741 0.000 Ge
5.708 0.000 4.041 Ge
0.000 0.000 6.166 Ge
1.741 5.708 0.000 Ge
3.967 0.000 8.082 Ge
0.000 0.000 9.999 Ge
0.000 5.708 4.041 Ge
0.000 3.967 8.082 Ge
```

***

Record 3
VASP calculation (PBE-GGA) on GaSbIr after structural relaxation.

## Properties
**Space group**: No. 216
**Relative energy among the computed polymorphs**: 0.00 eV/f.u.
**Density**: 10.62 g/cm³
**Total magnetization**: 0.0 μB/f.u.

Cell and atoms, written as POSCAR:
```
GaSbIr
1.0
0.000 3.107 3.107
3.107 0.000 3.107
3.107 3.107 0.000
Ga Sb Ir
1 1 1
Cartesian
0.000 0.000 0.000 Ga
3.107 3.107 3.107 Sb
1.553 1.553 1.553 Ir
```

***

Record 4
VASP calculation (PBE-GGA) on ScTlCoAg after structural relaxation.

## Properties
**Space group**: No. 216
**Relative energy among the computed polymorphs**: 0.00 eV/f.u.
**Density**: 9.62 g/cm³
**Total magnetization**: 1.0 μB/f.u.

Cell and atoms, written as POSCAR:
```
ScTlCoAg
1.0
0.000 3.299 3.299
3.299 0.000 3.299
3.299 3.299 0.000
Sc Tl Co Ag
1 1 1 1
Cartesian
0.000 0.000 0.000 Sc
3.299 3.299 3.299 Tl
4.949 4.949 4.949 Co
1.650 1.650 1.650 Ag
```